Record 1
# La2Dy7Y (PBE, optimized geometry)
# Density = 7.64 Mg/m³
# E_form = 0.600 kcal/mol of atoms
# Energy above the most stable polymorph in this dataset = 0.00 eV/f.u.
# Total energy = -4.83 eV per atom
# Size of the total moment = 0.00 μB per cell
data_La2Dy7Y
_space_group_name_H-M_alt 'P -1'
_space_group_IT_number 2
_space_group_name_Hall '-P 1'
_cell_length_a 6.211
_cell_length_b 7.165
_cell_length_c 8.030
_cell_angle_alpha 77.20
_cell_angle_beta 74.96
_cell_angle_gamma 73.54
loop_
_atom_site_label
_atom_site_fract_x
_atom_site_fract_y
_atom_site_fract_z
La1 0.200 0.299 0.100
Dy1 0.000 0.000 0.500
Dy2 0.199 0.800 0.102
Dy3 0.399 0.601 0.697
Dy4 0.400 0.101 0.696
Y1 0.000 0.500 0.500

---

Record 2
# CsTl5F6 (PBE, optimized geometry)
# ΔE_f (raw) = -1876 meV per atom
# Density = 7.24 Mg/m³
# Total energy = -3.87 eV per atom
# Size of the total moment = 0.00 μB per cell
data_CsTl5F6
_space_group_name_H-M_alt 'C 1 2/m 1'
_space_group_IT_number 12
_space_group_name_Hall '-C 2y'
_cell_length_a 7.115
_cell_length_b 12.251
_cell_length_c 7.042
_cell_angle_alpha 90.00
_cell_angle_beta 108.41
_cell_angle_gamma 90.00
loop_
_atom_site_label
_atom_site_fract_x
_atom_site_fract_y
_atom_site_fract_z
Cs1 0.000 0.000 0.000
Tl1 0.000 0.177 0.500
Tl2 0.000 0.336 0.000
Tl3 0.000 0.500 0.500
F1 0.197 0.500 0.206
F2 0.225 0.328 0.722

---

Record 3
# AcTaS4 (PBE, optimized geometry)
# ΔE_f (raw) = -1405 meV per atom
# Density = 5.93 Mg/m³
# Energy above the most stable polymorph in this dataset = 0.26 eV/f.u.
# Total energy = -6.82 eV per atom
# Size of the total moment = 0.00 μB per cell
data_AcTaS4
_space_group_name_H-M_alt 'C 1 2/c 1'
_space_group_IT_number 15
_space_group_name_Hall '-C 2yc'
_cell_length_a 8.417
_cell_length_b 14.102
_cell_length_c 6.250
_cell_angle_alpha 90.00
_cell_angle_beta 125.90
_cell_angle_gamma 90.00
loop_
_atom_site_label
_atom_site_fract_x
_atom_site_fract_y
_atom_site_fract_z
Ac1 0.000 0.130 0.250
Ta1 0.000 0.415 0.750
S1 0.134 0.296 0.645
S2 0.230 0.466 0.214

---

Record 4
# ZrAlCu (PBE, optimized geometry)
# Density = 5.90 Mg/m³
# E_form = -9.052 kcal/mol of atoms
# Total energy = -5.85 eV per atom
# Size of the total moment = 0.00 μB per cell
data_ZrAlCu
_space_group_name_H-M_alt 'I m m 2'
_space_group_IT_number 44
_space_group_name_Hall 'I 2 -2'
_cell_length_a 4.256
_cell_length_b 6.504
_cell_length_c 7.392
_cell_angle_alpha 90.00
_cell_angle_beta 90.00
_cell_angle_gamma 90.00
loop_
_atom_site_label
_atom_site_fract_x
_atom_site_fract_y
_atom_site_fract_z
Zr1 0.000 0.000 0.000
Zr2 0.000 0.500 0.039
Al1 0.000 0.231 0.355
Cu1 0.000 0.283 0.687

---

Record 5
# GaBi2Rh2 (PBE, optimized geometry)
# Density = 11.17 Mg/m³
# E_form = -2.145 kcal/mol of atoms
# Total energy = -5.19 eV per atom
# Size of the total moment = 0.00 μB per cell
data_GaBi2Rh2
_space_group_name_H-M_alt 'P 4/m b m'
_space_group_IT_number 127
_space_group_name_Hall '-P 4 2ab'
_cell_length_a 6.796
_cell_length_b 6.796
_cell_length_c 4.464
_cell_angle_alpha 90.00
_cell_angle_beta 90.00
_cell_angle_gamma 90.00
loop_
_atom_site_label
_atom_site_fract_x
_atom_site_fract_y
_atom_site_fract_z
Ga1 0.000 0.000 0.000
Bi1 0.165 0.335 0.500
Rh1 0.148 0.648 0.000

---

Record 6
# Mg5Tl6Ga (PBE, optimized geometry)
# Density = 7.83 Mg/m³
# E_form = 0.012 kcal/mol of atoms
# Total energy = -2.10 eV per atom
# Size of the total moment = 0.00 μB per cell
data_Mg5Tl6Ga
_space_group_name_H-M_alt 'C 1 2/m 1'
_space_group_IT_number 12
_space_group_name_Hall '-C 2y'
_cell_length_a 15.464
_cell_length_b 8.552
_cell_length_c 4.756
_cell_angle_alpha 90.00
_cell_angle_beta 107.19
_cell_angle_gamma 90.00
loop_
_atom_site_label
_atom_site_fract_x
_atom_site_fract_y
_atom_site_fract_z
Mg1 0.000 0.000 0.000
Mg2 0.156 0.500 0.656
Mg3 0.172 0.000 0.673
Tl1 0.000 0.240 0.500
Tl2 0.168 0.244 0.167
Ga1 0.000 0.500 0.000

---

Record 7
# Ca7Tl4H (PBE, optimized geometry)
# Density = 4.77 Mg/m³
# Total energy = -2.53 eV per atom
# Size of the total moment = 0.00 μB per cell
data_Ca7Tl4H
_space_group_name_H-M_alt 'C 1 2/m 1'
_space_group_IT_number 12
_space_group_name_Hall '-C 2y'
_cell_length_a 16.137
_cell_length_b 5.399
_cell_length_c 11.485
_cell_angle_alpha 90.00
_cell_angle_beta 130.13
_cell_angle_gamma 90.00
loop_
_atom_site_label
_atom_site_fract_x
_atom_site_fract_y
_atom_site_fract_z
Ca1 0.000 0.000 0.000
Ca2 0.055 0.500 0.246
Ca3 0.135 0.000 0.565
Ca4 0.211 0.500 0.854
Tl1 0.072 0.000 0.790
Tl2 0.218 0.000 0.373
H1 0.000 0.500 0.000

---

Record 8
# Pr6C3ICl2 (PBE, optimized geometry)
# ΔE_f (raw) = -868 meV per atom
# Density = 6.20 Mg/m³
# Total energy = -6.00 eV per atom
# Size of the total moment = 0.00 μB per cell
data_Pr6C3ICl2
_space_group_name_H-M_alt 'C 1 2/m 1'
_space_group_IT_number 12
_space_group_name_Hall '-C 2y'
_cell_length_a 18.706
_cell_length_b 3.864
_cell_length_c 8.699
_cell_angle_alpha 90.00
_cell_angle_beta 113.03
_cell_angle_gamma 90.00
loop_
_atom_site_label
_atom_site_fract_x
_atom_site_fract_y
_atom_site_fract_z
Pr1 0.015 0.000 0.209
Pr2 0.153 0.500 0.116
Pr3 0.183 0.500 0.550
C1 0.000 0.500 0.000
C2 0.167 0.000 0.330
I1 0.000 0.500 0.500
Cl1 0.170 0.000 0.837

---

Record 9
# Cu2AgBr2 (PBE, optimized geometry)
# ΔE_f (raw) = 258 meV per atom
# Density = 6.31 Mg/m³
# Energy above the most stable polymorph in this dataset = 0.16 eV/f.u.
# Total energy = -2.62 eV per atom
# Size of the total moment = 0.00 μB per cell
data_Cu2AgBr2
_space_group_name_H-M_alt 'I 4/m m m'
_space_group_IT_number 139
_space_group_name_Hall '-I 4 2'
_cell_length_a 5.148
_cell_length_b 5.148
_cell_length_c 7.837
_cell_angle_alpha 90.00
_cell_angle_beta 90.00
_cell_angle_gamma 90.00
loop_
_atom_site_label
_atom_site_fract_x
_atom_site_fract_y
_atom_site_fract_z
Cu1 0.000 0.000 0.160
Ag1 0.000 0.000 0.500
Br1 0.000 0.500 0.250

---

Record 10
# SiAgMo2 (PBE, optimized geometry)
# ΔE_f (raw) = 300 meV per atom
# Density = 8.53 Mg/m³
# Total energy = -7.18 eV per atom
# Size of the total moment = 0.64 μB per cell
data_SiAgMo2
_space_group_name_H-M_alt 'R 3 m'
_space_group_IT_number 160
_space_group_name_Hall 'R 3 -2"'
_cell_length_a 2.8346
_cell_length_b 2.8346
_cell_length_c 27.5193
_cell_angle_alpha 90.00
_cell_angle_beta 90.00
_cell_angle_gamma 120.00
loop_
_atom_site_label
_atom_site_fract_x
_atom_site_fract_y
_atom_site_fract_z
Si1 0.0000 0.0000 0.0000
Ag1 0.0000 0.0000 0.7499
Mo1 0.0000 0.0000 0.2587
Mo2 0.0000 0.0000 0.5075

---

Record 11
# Ac4Cd2H (PBE, optimized geometry)
# Density = 8.00 Mg/m³
# Total energy = -3.24 eV per atom
# Size of the total moment = 0.00 μB per cell
data_Ac4Cd2H
_space_group_name_H-M_alt 'I 4/m m m'
_space_group_IT_number 139
_space_group_name_Hall '-I 4 2'
_cell_length_a 5.208
_cell_length_b 5.208
_cell_length_c 17.356
_cell_angle_alpha 90.00
_cell_angle_beta 90.00
_cell_angle_gamma 90.00
loop_
_atom_site_label
_atom_site_fract_x
_atom_site_fract_y
_atom_site_fract_z
Ac1 0.000 0.000 0.182
Ac2 0.000 0.500 0.000
Cd1 0.000 0.000 0.370
H1 0.000 0.000 0.000

---

Record 12
# Ti4CoPt (PBE, optimized geometry)
# Density = 7.00 Mg/m³
# E_form = -5.441 kcal/mol of atoms
# Total energy = -7.69 eV per atom
# Size of the total moment = 0.00 μB per cell
data_Ti4CoPt
_space_group_name_H-M_alt 'C 1 2/m 1'
_space_group_IT_number 12
_space_group_name_Hall '-C 2y'
_cell_length_a 5.925
_cell_length_b 5.918
_cell_length_c 6.033
_cell_angle_alpha 90.00
_cell_angle_beta 92.11
_cell_angle_gamma 90.00
loop_
_atom_site_label
_atom_site_fract_x
_atom_site_fract_y
_atom_site_fract_z
Ti1 0.242 0.250 0.235
Co1 0.000 0.000 0.000
Pt1 0.000 0.500 0.500